[1]
# HfTc2Mo PBE-GGA relaxed
data_HfTc2Mo
_space_group_name_H-M_alt 'P 1'
_space_group_IT_number 1
_cell_length_a 4.5066
_cell_length_b 4.5066
_cell_length_c 4.5066
_cell_angle_alpha 60.00
_cell_angle_beta 60.00
_cell_angle_gamma 60.00
loop_
_space_group_symop_operation_xyz
'x,y,z'
loop_
_atom_site_label
_atom_site_type_symbol
_atom_site_fract_x
_atom_site_fract_y
_atom_site_fract_z
Mo1 Mo 0.0000 0.0000 0.0000
Hf1 Hf 0.5000 0.5000 0.5000
Tc1 Tc 0.2500 0.2500 0.2500
Tc2 Tc 0.7500 0.7500 0.7500
# - formation enthalpy at 0 K (kcal/mol of atoms) = -6.8
# - ΔE to the lowest computed polymorph (eV/f.u.) = 0.000
# - symmetry = No. 225
# - VASP energy (eV per atom) = -10.6761
# - total magnetization (μB/f.u.) = 0.00

---

[2]
# Pm2NdNpSb4 PBE-GGA relaxed
data_Pm2NdNpSb4
_space_group_name_H-M_alt 'P 1'
_space_group_IT_number 1
_cell_length_a 4.4772
_cell_length_b 7.7553
_cell_length_c 7.7551
_cell_angle_alpha 109.35
_cell_angle_beta 90.00
_cell_angle_gamma 90.00
loop_
_space_group_symop_operation_xyz
'x,y,z'
loop_
_atom_site_label
_atom_site_type_symbol
_atom_site_fract_x
_atom_site_fract_y
_atom_site_fract_z
Pm1 Pm 0.5000 0.0000 0.5000
Pm2 Pm 0.0000 0.5000 0.5000
Nd1 Nd 0.0000 0.0000 0.0000
Np1 Np 0.5000 0.5000 0.0000
Sb1 Sb 0.5000 0.2542 0.2484
Sb2 Sb 0.5000 0.7458 0.7516
Sb3 Sb 0.0000 0.2551 0.7537
Sb4 Sb 0.0000 0.7449 0.2463
# - formation energy from raw total energies (eV/atom) = -0.9312
# - symmetry = No. 10
# - VASP energy (eV per atom) = -6.3936
# - total magnetization (μB/f.u.) = 3.89